! LiNbV2Fe (GGA-PBE, relaxed); values from VASP
&SYSTEM
  ibrav = 0, nat = 5, ntyp = 4
/
ATOMIC_SPECIES
Nb 92.91 Nb.upf
Li 6.94 Li.upf
V 50.94 V.upf
Fe 55.84 Fe.upf
CELL_PARAMETERS angstrom
4.292 0.000 0.000
0.000 3.684 0.000
0.000 0.000 4.292
ATOMIC_POSITIONS crystal
Nb 0.500 0.500 0.500
Li 0.000 0.000 0.000
V 0.500 0.000 0.000
V 0.000 0.000 0.500
Fe 0.000 0.500 0.000
! VASP energy (eV/cell): -33.732
! V (Å³/f.u.): 67.86
! ΔH_f (0 K) (eV per atom): 0.990

---

! LiNd2Fe (GGA-PBE, relaxed); values from VASP
&SYSTEM
  ibrav = 0, nat = 4, ntyp = 3
/
ATOMIC_SPECIES
Fe 55.84 Fe.upf
Nd 144.24 Nd.upf
Li 6.94 Li.upf
CELL_PARAMETERS angstrom
-1.471 -2.005 -2.480
0.527 -2.846 1.988
-7.363 1.078 3.496
ATOMIC_POSITIONS crystal
Fe 0.500 0.500 0.000
Nd 0.000 0.000 0.796
Nd 0.000 0.000 0.204
Li 0.500 0.500 0.500
! VASP energy (eV/cell): -19.348
! V (Å³/f.u.): 101.38
! ΔH_f (0 K) (eV per atom): 0.141

---

! LiNd3Fe (GGA-PBE, relaxed); values from VASP
&SYSTEM
  ibrav = 0, nat = 5, ntyp = 3
/
ATOMIC_SPECIES
Li 6.94 Li.upf
Fe 55.84 Fe.upf
Nd 144.24 Nd.upf
CELL_PARAMETERS angstrom
-2.486 3.019 -3.655
2.100 -2.999 -3.905
-4.250 -3.247 0.208
ATOMIC_POSITIONS crystal
Li 0.500 0.500 0.500
Fe 0.000 0.000 0.000
Nd 0.000 0.000 0.500
Nd 0.000 0.500 0.000
Nd 0.500 0.000 0.000
! VASP energy (eV/cell): -23.741
! V (Å³/f.u.): 153.38
! ΔH_f (0 K) (eV per atom): 0.188

---

! LiNdFe4 (GGA-PBE, relaxed); values from VASP
&SYSTEM
  ibrav = 0, nat = 6, ntyp = 3
/
ATOMIC_SPECIES
Nd 144.24 Nd.upf
Fe 55.84 Fe.upf
Li 6.94 Li.upf
CELL_PARAMETERS angstrom
-3.300 2.750 2.643
-0.689 -0.922 4.911
1.650 3.298 3.441
ATOMIC_POSITIONS crystal
Nd 0.000 0.000 0.000
Fe 0.624 0.127 0.624
Fe 0.624 0.624 0.127
Fe 0.127 0.624 0.624
Fe 0.624 0.624 0.624
Li 0.250 0.250 0.250
! VASP energy (eV/cell): -39.576
! V (Å³/f.u.): 90.72
! ΔH_f (0 K) (eV per atom): 0.159

---

! Li3Nd2FeNi12 (GGA-PBE, relaxed); values from VASP
&SYSTEM
  ibrav = 0, nat = 18, ntyp = 4
/
ATOMIC_SPECIES
Ni 58.69 Ni.upf
Fe 55.84 Fe.upf
Li 6.94 Li.upf
Nd 144.24 Nd.upf
CELL_PARAMETERS angstrom
-6.805 -1.090 6.220
-2.680 -5.195 7.212
-1.849 0.339 9.091
ATOMIC_POSITIONS crystal
Ni 0.926 0.356 0.926
Ni 0.187 0.582 0.582
Ni 0.582 0.187 0.582
Ni 0.418 0.813 0.418
Ni 0.813 0.418 0.418
Ni 0.926 0.926 0.356
Ni 0.356 0.926 0.926
Ni 0.644 0.074 0.074
Ni 0.418 0.418 0.813
Ni 0.074 0.074 0.644
Ni 0.582 0.582 0.187
Ni 0.074 0.644 0.074
Fe 0.000 0.000 0.000
Li 0.500 0.000 0.000
Li 0.000 0.500 0.000
Li 0.000 0.000 0.500
Nd 0.649 0.649 0.649
Nd 0.351 0.351 0.351
! VASP energy (eV/cell): -89.815
! V (Å³/f.u.): 260.60
! ΔH_f (0 K) (eV per atom): 0.183

---

Look up the VASP energy of the first one. -33.732 eV/cell